(1)
A relaxed V2Ni2PbO8 crystal, computed with PBEsol.

Computed properties:
spin magnetization = 3.9 μB/f.u.
volume = 605 Å³/cell

Cell lengths 9.506, 9.506, 9.506 Å; angles 100.87, 100.87, 128.52 degrees
Fractional coordinates of all 52 atoms:
V1 0.169 0.512 0.181
V2 0.238 0.081 0.319
V3 0.262 0.581 0.842
V4 0.331 0.988 0.819
V5 0.669 0.488 0.658
V6 0.738 0.419 0.158
V7 0.762 0.919 0.681
V8 0.831 0.012 0.342
Ni1 0.047 0.709 0.995
Ni2 0.214 0.209 0.662
Ni3 0.302 0.464 0.505
Ni4 0.459 0.964 0.162
Ni5 0.547 0.552 0.338
Ni6 0.714 0.052 0.005
Ni7 0.802 0.297 0.838
Ni8 0.959 0.797 0.495
Pb1 0.200 0.200 0.000
Pb2 0.450 0.950 0.500
Pb3 0.700 0.700 0.000
Pb4 0.950 0.450 0.500
O1 0.048 0.892 0.142
O2 0.051 0.530 0.842
O3 0.054 0.219 0.496
O4 0.142 0.798 0.642
O5 0.156 0.500 0.358
O6 0.188 0.030 0.479
O7 0.223 0.719 0.165
O8 0.250 0.392 0.844
O9 0.279 0.601 0.670
O10 0.280 0.938 0.979
O11 0.308 0.304 0.335
O12 0.351 0.181 0.823
O13 0.358 0.529 0.177
O14 0.431 0.101 0.323
O15 0.459 0.438 0.658
O16 0.469 0.804 0.996
O17 0.548 0.406 0.156
O18 0.551 0.709 0.521
O19 0.554 0.058 0.835
O20 0.642 0.000 0.344
O21 0.656 0.298 0.656
O22 0.688 0.209 0.158
O23 0.723 0.558 0.504
O24 0.750 0.906 0.858
O25 0.779 0.108 0.677
O26 0.780 0.801 0.342
O27 0.808 0.473 0.004
O28 0.851 0.029 0.170
O29 0.858 0.681 0.830
O30 0.931 0.608 0.330
O31 0.959 0.301 0.021
O32 0.969 0.973 0.665

(2)
A relaxed NiPb2WO6 crystal, computed with PBEsol.

Computed properties:
spin magnetization = 2.0 μB/f.u.
volume = 123 Å³/cell

Cell lengths 5.578, 5.578, 5.578 Å; angles 60.00, 60.00, 60.00 degrees
Fractional coordinates of all 10 atoms:
Ni1 0.000 0.000 0.000
Pb1 0.250 0.250 0.250
Pb2 0.750 0.750 0.750
W1 0.500 0.500 0.500
O1 0.256 0.256 0.744
O2 0.256 0.744 0.256
O3 0.256 0.744 0.744
O4 0.744 0.256 0.256
O5 0.744 0.256 0.744
O6 0.744 0.744 0.256

(3)
A relaxed PrNiO3 crystal, computed with PBEsol.

Computed properties:
spin magnetization = 0.0 μB/f.u.
volume = 108 Å³/cell

Cell lengths 5.271, 5.271, 5.271 Å; angles 61.79, 61.79, 61.79 degrees
Fractional coordinates of all 10 atoms:
Pr1 0.250 0.250 0.250
Pr2 0.750 0.750 0.750
Ni1 0.000 0.000 0.000
Ni2 0.500 0.500 0.500
O1 0.192 0.750 0.308
O2 0.250 0.692 0.808
O3 0.308 0.192 0.750
O4 0.692 0.808 0.250
O5 0.750 0.308 0.192
O6 0.808 0.250 0.692

Sequential formation energy (no corrections) output: -1678; -1437; -2166 meV/atom